SbTePb2 after structural relaxation, computed with PBE.

The structure in POSCAR format:
```
SbTePb2
1.0
7.2595 0.0000 0.0000
0.0000 7.2595 0.0000
0.0000 0.0000 14.1061
Sb Te Pb
4 4 8
Direct
0.0000 0.0000 0.0000 Sb
0.0000 0.5000 0.2500 Sb
0.5000 0.0000 0.7500 Sb
0.5000 0.5000 0.5000 Sb
0.0000 0.0000 0.5000 Te
0.0000 0.5000 0.7500 Te
0.5000 0.0000 0.2500 Te
0.5000 0.5000 0.0000 Te
0.2425 0.2500 0.1250 Pb
0.2500 0.7425 0.3750 Pb
0.2500 0.7575 0.8750 Pb
0.2575 0.2500 0.6250 Pb
0.7425 0.7500 0.6250 Pb
0.7500 0.2425 0.8750 Pb
0.7500 0.2575 0.3750 Pb
0.7575 0.7500 0.1250 Pb
```

Computed properties:
Formation energy without anion corrections = 0.0536 eV per atom
V = 743.4 Å³/cell
Energy above the most stable polymorph in this dataset = 175 meV/atom
SG = I-42d (122)
DOS at the Fermi energy = 3.19 states/eV/f.u.
Total DFT energy (no corrections) = -3.617 eV per atom
Theoretical density = 5.9 g/cm³